# 1
DFT (PBE) results for crystalline Mg6AgAu at its relaxed geometry.

Mass density   4.8 g/cm3
E_form   -0.20 eV/atom
Crystal system   trigonal

Cell lengths 4.8037, 4.8037, 8.3052 Å; angles 73.19, 73.19, 60.00 degrees
Closest atoms and distances in Å follow each position.
Atoms (fractional coordinates):
Mg: 0.6239 0.6239 0.1282  1 Au 2.91, 4 Mg 2.93-2.94, 3 Ag 2.95
Mg: 0.1264 0.1264 0.6209  4 Mg 2.92-2.96, 3 Au 2.93, 1 Ag 2.97
Mg: 0.8736 0.8736 0.3791  4 Mg 2.92-2.96, 3 Au 2.93, 1 Ag 2.97
Mg: 0.3761 0.3761 0.8718  1 Au 2.91, 4 Mg 2.93-2.94, 3 Ag 2.95
Mg: 0.2508 0.2508 0.2476  8 Mg 2.92-2.96
Mg: 0.7492 0.7492 0.7524  8 Mg 2.92-2.96
Ag: 0.0000 0.0000 0.0000  8 Mg 2.95-2.97
Au: 0.5000 0.5000 0.5000  8 Mg 2.91-2.93

# 2
DFT (PBE) results for crystalline MgAg2Au8 at its relaxed geometry.

Mass density   15.3 g/cm3
E_form   -0.17 eV/atom
Crystal system   monoclinic

Cell lengths 4.1295, 6.6098, 7.7697 Å; angles 104.97, 105.41, 90.00 degrees
Closest atoms and distances in Å follow each position.
Atoms (fractional coordinates):
Mg: 0.5000 0.0000 0.0000  12 Au 2.89-2.93
Ag: 0.7749 0.3676 0.5499  10 Au 2.92-2.97, 2 Ag 2.93
Ag: 0.2251 0.6324 0.4501  10 Au 2.92-2.97, 2 Ag 2.93
Au: 0.4098 0.5542 0.8197  1 Mg 2.89, 8 Au 2.91-3.01, 3 Ag 2.92-2.95
Au: 0.6812 0.9107 0.3624  8 Au 2.92-3.01, 1 Mg 2.93, 3 Ag 2.95-2.97
Au: 0.8649 0.8220 0.7299  7 Au 2.91-2.96, 2 Mg 2.91, 3 Ag 2.94-2.97
Au: 0.9543 0.2703 0.9085  9 Au 2.91-2.98, 1 Ag 2.93, 2 Mg 2.93
Au: 0.1351 0.1780 0.2701  7 Au 2.91-2.96, 2 Mg 2.91, 3 Ag 2.94-2.97
Au: 0.3188 0.0893 0.6376  8 Au 2.92-3.01, 1 Mg 2.93, 3 Ag 2.95-2.97
Au: 0.5902 0.4458 0.1803  1 Mg 2.89, 8 Au 2.91-3.01, 3 Ag 2.92-2.95
Au: 0.0457 0.7297 0.0915  9 Au 2.91-2.98, 1 Ag 2.93, 2 Mg 2.93

# 3
DFT (PBE) results for crystalline Mg2AgAu9 at its relaxed geometry.

Mass density   14.9 g/cm3
E_form   -0.28 eV/atom
Crystal system   tetragonal

Cell lengths 4.1879, 4.1879, 12.2237 Å; angles 90.00, 90.00, 90.00 degrees
Closest atoms and distances in Å follow each position.
Atoms (fractional coordinates):
Mg: 0.0000 0.0000 0.3316  12 Au 2.89-2.96
Mg: 0.0000 0.0000 0.6684  12 Au 2.89-2.96
Ag: 0.0000 0.0000 0.0000  12 Au 2.94-2.96
Au: 0.5000 0.5000 0.0000  8 Au 2.94, 4 Ag 2.96
Au: 0.5000 0.5000 0.3341  8 Au 2.91-2.92, 4 Mg 2.96
Au: 0.5000 0.5000 0.6659  8 Au 2.91-2.92, 4 Mg 2.96
Au: 0.5000 0.0000 0.1692  2 Mg 2.89, 8 Au 2.91-2.96, 2 Ag 2.94
Au: 0.5000 0.0000 0.5000  8 Au 2.92-2.96, 4 Mg 2.94
Au: 0.5000 0.0000 0.8308  2 Mg 2.89, 8 Au 2.91-2.96, 2 Ag 2.94
Au: 0.0000 0.5000 0.1692  2 Mg 2.89, 8 Au 2.91-2.96, 2 Ag 2.94
Au: 0.0000 0.5000 0.5000  8 Au 2.92-2.96, 4 Mg 2.94
Au: 0.0000 0.5000 0.8308  2 Mg 2.89, 8 Au 2.91-2.96, 2 Ag 2.94

# 4
DFT (PBE) results for crystalline Mg2AgAu at its relaxed geometry.

Mass density   7.7 g/cm3
E_form   -0.30 eV/atom
Energy above the most stable polymorph in this dataset   3.28 kcal/mol of atoms
Crystal system   tetragonal

Cell lengths 3.6098, 3.6098, 5.8294 Å; angles 90.00, 90.00, 90.00 degrees
Closest atoms and distances in Å follow each position.
Atoms (fractional coordinates):
Ag: 0.0000 0.0000 0.4818  6 Mg 2.82-3.00, 4 Au 3.07
Au: 0.5000 0.5000 0.7745  6 Mg 2.79-2.92, 4 Ag 3.07
Mg: 0.0000 0.0000 0.9678  4 Au 2.79, 2 Ag 2.83-3.00, 4 Mg 3.12
Mg: 0.5000 0.5000 0.2760  4 Ag 2.82, 2 Au 2.91-2.92, 4 Mg 3.12

# 5
DFT (PBE) results for crystalline Mg2AgAu at its relaxed geometry.

Mass density   6.9 g/cm3
E_form   -0.20 eV/atom
Energy above the most stable polymorph in this dataset   5.64 kcal/mol of atoms
Crystal system   trigonal

Cell lengths 3.7719, 3.7719, 7.2270 Å; angles 74.87, 74.87, 60.00 degrees
Closest atoms and distances in Å follow each position.
Atoms (fractional coordinates):
Mg: 0.0793 0.0793 0.7622  3 Au 2.75, 3 Ag 2.86
Mg: 0.2537 0.2537 0.2389  3 Au 2.70, 3 Ag 2.79
Ag: 0.5025 0.5025 0.4924  6 Mg 2.79-2.86
Au: 0.6645 0.6645 0.0066  6 Mg 2.70-2.75

# 6
DFT (PBE) results for crystalline MgAg12Au7 at its relaxed geometry.

Mass density   12.0 g/cm3
E_form   -0.04 eV/atom
Crystal system   trigonal

Cell lengths 7.6408, 7.6408, 7.6408 Å; angles 106.78, 106.78, 106.78 degrees
Closest atoms and distances in Å follow each position.
Atoms (fractional coordinates):
Mg: 0.0000 0.0000 0.0000  6 Au 2.73
Ag: 0.7709 0.3355 0.6309  4 Au 2.81-2.93, 7 Ag 2.83-3.05
Ag: 0.6645 0.3691 0.2291  4 Au 2.81-2.93, 7 Ag 2.83-3.05
Ag: 0.4132 0.0369 0.3086  6 Ag 2.83-3.13, 4 Au 2.88-3.00
Ag: 0.9631 0.6914 0.5868  6 Ag 2.83-3.13, 4 Au 2.88-3.00
Ag: 0.3691 0.2291 0.6645  4 Au 2.81-2.93, 7 Ag 2.83-3.05
Ag: 0.6914 0.5868 0.9631  6 Ag 2.83-3.13, 4 Au 2.88-3.00
Ag: 0.3086 0.4132 0.0369  6 Ag 2.83-3.13, 4 Au 2.88-3.00
Ag: 0.6309 0.7709 0.3355  4 Au 2.81-2.93, 7 Ag 2.83-3.05
Ag: 0.0369 0.3086 0.4132  6 Ag 2.83-3.13, 4 Au 2.88-3.00
Ag: 0.5868 0.9631 0.6914  6 Ag 2.83-3.13, 4 Au 2.88-3.00
Ag: 0.3355 0.6309 0.7709  4 Au 2.81-2.93, 7 Ag 2.83-3.05
Ag: 0.2291 0.6645 0.3691  4 Au 2.81-2.93, 7 Ag 2.83-3.05
Au: 0.0953 0.6798 0.9830  1 Mg 2.73, 7 Ag 2.81-3.00, 3 Au 2.84-2.98
Au: 0.3202 0.0170 0.9047  1 Mg 2.73, 7 Ag 2.81-3.00, 3 Au 2.84-2.98
Au: 0.0170 0.9047 0.3202  1 Mg 2.73, 7 Ag 2.81-3.00, 3 Au 2.84-2.98
Au: 0.5000 0.5000 0.5000  6 Ag 2.81
Au: 0.9830 0.0953 0.6798  1 Mg 2.73, 7 Ag 2.81-3.00, 3 Au 2.84-2.98
Au: 0.6798 0.9830 0.0953  1 Mg 2.73, 7 Ag 2.81-3.00, 3 Au 2.84-2.98
Au: 0.9047 0.3202 0.0170  1 Mg 2.73, 7 Ag 2.81-3.00, 3 Au 2.84-2.98